(1)
An optimized crystal structure of KI2Cl2, computed with GGA-PBE.

Results
Distance to the lowest polymorph of the same formula = 0.99 eV per formula unit
Theoretical density = 2.92 g cm⁻³
Formation energy without anion corrections = -0.40 eV/atom
SG = I4/mmm, No. 139

abc: 7.0989 7.0989 7.0989
angles: 129.61 129.61 74.03
Last column: nearest neighbours and their distance in Å.
Element x y z (fractional)
K1 0.0000 0.0000 0.0000  8 Cl 4.14, 10 I 4.33-4.48
I1 0.3819 0.3819 0.0000  1 I 2.68
I2 0.6181 0.6181 0.0000  1 I 2.68
Cl1 0.2500 0.7500 0.5000  4 I 3.37
Cl2 0.7500 0.2500 0.5000  4 I 3.37

=====

(2)
An optimized crystal structure of CaBP2O8, computed with GGA-PBE.

Results
Theoretical density = 3.00 g cm⁻³
Formation energy without anion corrections = -1.83 eV/atom
SG = R32, No. 155

abc: 7.8033 7.8033 7.8033
angles: 34.14 34.14 34.14
Last column: nearest neighbours and their distance in Å.
Element x y z (fractional)
Ca1 0.0000 0.0000 0.0000  6 O 2.71
B1 0.5000 0.5000 0.5000  6 O 1.73
P1 0.2371 0.2371 0.2371  4 O 1.54
P2 0.7629 0.7629 0.7629  4 O 1.54
O1 0.1357 0.5039 0.7111  1 P 1.54, 1 B 1.73
O2 0.2889 0.4961 0.8643  1 P 1.54, 1 B 1.73
O3 0.3072 0.3072 0.3072  1 P 1.54
O4 0.4961 0.8643 0.2889  1 P 1.54, 1 B 1.73
O5 0.5039 0.7111 0.1357  1 P 1.54, 1 B 1.73
O6 0.6928 0.6928 0.6928  1 P 1.54
O7 0.7111 0.1357 0.5039  1 P 1.54, 1 B 1.73
O8 0.8643 0.2889 0.4961  1 P 1.54, 1 B 1.73

=====

(3)
An optimized crystal structure of SmTcH, computed with GGA-PBE.

Results
DFT total energy = -6.307 eV per atom
Theoretical density = 8.95 g cm⁻³
SG = P4/nmm, No. 129

abc: 3.1734 3.1734 9.1912
angles: 90.00 90.00 90.00
Last column: nearest neighbours and their distance in Å.
Element x y z (fractional)
Sm1 0.2500 0.2500 0.1783  5 H 2.35-2.43
Sm2 0.7500 0.7500 0.8217  5 H 2.35-2.43
Tc1 0.2500 0.2500 0.5672  4 Tc 2.56
Tc2 0.7500 0.7500 0.4328  4 Tc 2.56
H1 0.2500 0.2500 0.9224  5 Sm 2.35-2.43
H2 0.7500 0.7500 0.0776  5 Sm 2.35-2.43